12
Lattice="3.6874 0.0000 0.0000 0.0000 7.6086 0.0990 -1.8437 -2.3765 7.8894" Properties=species:S:1:pos:R:3 comment="Y6HC3S2 (PBE, optimized geometry)" spacegroup="No. 12" e_tot_ev_per_fu=-90.281 pbc="T T T"
Y 0.0000 5.4796 0.2266
C 0.0000 5.5574 2.6977
H 1.8437 0.0000 0.0000
C 1.8437 -0.3253 5.2907
Y 0.0000 5.6019 5.2140
C 1.8437 3.8043 0.0495
Y 1.8437 -0.3698 2.7744
S 1.8437 3.5272 5.3880
Y 1.8437 -0.2475 7.7619
Y 1.8437 3.8293 2.5765
Y 0.0000 1.4028 5.4119
S 0.0000 1.7050 2.6004